# BaMgCd3Ag (GGA-PBE, relaxed)
# E_form	-101	meV/atom
data_BaMgCd3Ag
_chemical_formula_sum 'Ba2 Mg2 Cd6 Ag2'
_cell_length_a 8.0576
_cell_length_b 8.0576
_cell_length_c 6.3845
_cell_angle_alpha 90.00
_cell_angle_beta 90.00
_cell_angle_gamma 126.00
_symmetry_space_group_name_H-M 'P 1'
_symmetry_Int_Tables_number 1
loop_
_symmetry_equiv_pos_as_xyz
'x,y,z'
loop_
_atom_site_label
_atom_site_type_symbol
_atom_site_fract_x
_atom_site_fract_y
_atom_site_fract_z
Ba1 Ba 0.2126 0.7874 0.7500
Ba2 Ba 0.7874 0.2126 0.2500
Mg1 Mg 0.4482 0.5518 0.7500
Mg2 Mg 0.5518 0.4482 0.2500
Cd1 Cd 0.1962 0.1962 0.0000
Cd2 Cd 0.1962 0.1962 0.5000
Cd3 Cd 0.3487 0.6513 0.2500
Cd4 Cd 0.6513 0.3487 0.7500
Cd5 Cd 0.8038 0.8038 0.0000
Cd6 Cd 0.8038 0.8038 0.5000
Ag1 Ag 0.1460 0.8540 0.2500
Ag2 Ag 0.8540 0.1460 0.7500



# BaNa2CdAg (GGA-PBE, relaxed)
# E_form	-18	meV/atom
data_BaNa2CdAg
_chemical_formula_sum 'Ba1 Na2 Cd1 Ag1'
_cell_length_a 5.6423
_cell_length_b 5.6423
_cell_length_c 5.4723
_cell_angle_alpha 90.00
_cell_angle_beta 90.00
_cell_angle_gamma 90.00
_symmetry_space_group_name_H-M 'P 1'
_symmetry_Int_Tables_number 1
loop_
_symmetry_equiv_pos_as_xyz
'x,y,z'
loop_
_atom_site_label
_atom_site_type_symbol
_atom_site_fract_x
_atom_site_fract_y
_atom_site_fract_z
Ba1 Ba 0.0000 0.0000 0.0000
Na1 Na 0.0000 0.5000 0.5000
Na2 Na 0.5000 0.0000 0.5000
Cd1 Cd 0.5000 0.5000 0.0000
Ag1 Ag 0.5000 0.5000 0.5000



# Ba2NaCdAg (GGA-PBE, relaxed)
# E_form	-23	meV/atom
data_Ba2NaCdAg
_chemical_formula_sum 'Ba2 Na1 Cd1 Ag1'
_cell_length_a 6.4187
_cell_length_b 6.4187
_cell_length_c 5.4829
_cell_angle_alpha 90.00
_cell_angle_beta 90.00
_cell_angle_gamma 90.00
_symmetry_space_group_name_H-M 'P 1'
_symmetry_Int_Tables_number 1
loop_
_symmetry_equiv_pos_as_xyz
'x,y,z'
loop_
_atom_site_label
_atom_site_type_symbol
_atom_site_fract_x
_atom_site_fract_y
_atom_site_fract_z
Ba1 Ba 0.0000 0.5000 0.0000
Ba2 Ba 0.5000 0.0000 0.0000
Na1 Na 0.0000 0.0000 0.5000
Cd1 Cd 0.5000 0.5000 0.5000
Ag1 Ag 0.0000 0.0000 0.0000



# BaNa2Cd2Ag (GGA-PBE, relaxed)
# E_form	57	meV/atom
data_BaNa2Cd2Ag
_chemical_formula_sum 'Ba1 Na2 Cd2 Ag1'
_cell_length_a 7.5573
_cell_length_b 7.5573
_cell_length_c 7.5573
_cell_angle_alpha 134.35
_cell_angle_beta 134.35
_cell_angle_gamma 66.54
_symmetry_space_group_name_H-M 'P 1'
_symmetry_Int_Tables_number 1
loop_
_symmetry_equiv_pos_as_xyz
'x,y,z'
loop_
_atom_site_label
_atom_site_type_symbol
_atom_site_fract_x
_atom_site_fract_y
_atom_site_fract_z
Ba1 Ba 0.0000 0.0000 0.0000
Na1 Na 0.2500 0.7500 0.5000
Na2 Na 0.7500 0.2500 0.5000
Cd1 Cd 0.2863 0.2863 0.0000
Cd2 Cd 0.7137 0.7137 0.0000
Ag1 Ag 0.5000 0.5000 0.0000



# BaNaCd4Ag2 (GGA-PBE, relaxed)
# E_form	-137	meV/atom
data_BaNaCd4Ag2
_chemical_formula_sum 'Ba1 Na1 Cd4 Ag2'
_cell_length_a 10.5464
_cell_length_b 10.5464
_cell_length_c 10.5464
_cell_angle_alpha 26.81
_cell_angle_beta 26.81
_cell_angle_gamma 26.81
_symmetry_space_group_name_H-M 'P 1'
_symmetry_Int_Tables_number 1
loop_
_symmetry_equiv_pos_as_xyz
'x,y,z'
loop_
_atom_site_label
_atom_site_type_symbol
_atom_site_fract_x
_atom_site_fract_y
_atom_site_fract_z
Ba1 Ba 0.0000 0.0000 0.0000
Na1 Na 0.5000 0.5000 0.5000
Cd1 Cd 0.1245 0.1245 0.1245
Cd2 Cd 0.4033 0.4033 0.4033
Cd3 Cd 0.5967 0.5967 0.5967
Cd4 Cd 0.8755 0.8755 0.8755
Ag1 Ag 0.2336 0.2336 0.2336
Ag2 Ag 0.7664 0.7664 0.7664



# Ba2NaCd3Ag12 (GGA-PBE, relaxed)
# E_form	159	meV/atom
data_Ba2NaCd3Ag12
_chemical_formula_sum 'Ba2 Na1 Cd3 Ag12'
_cell_length_a 8.7086
_cell_length_b 8.7086
_cell_length_c 8.7086
_cell_angle_alpha 64.56
_cell_angle_beta 64.56
_cell_angle_gamma 64.56
_symmetry_space_group_name_H-M 'P 1'
_symmetry_Int_Tables_number 1
loop_
_symmetry_equiv_pos_as_xyz
'x,y,z'
loop_
_atom_site_label
_atom_site_type_symbol
_atom_site_fract_x
_atom_site_fract_y
_atom_site_fract_z
Ba1 Ba 0.1000 0.1000 0.1000
Ba2 Ba 0.9000 0.9000 0.9000
Na1 Na 0.5000 0.5000 0.5000
Cd1 Cd 0.0000 0.5000 0.5000
Cd2 Cd 0.5000 0.0000 0.5000
Cd3 Cd 0.5000 0.5000 0.0000
Ag1 Ag 0.1452 0.6409 0.6409
Ag2 Ag 0.1455 0.1455 0.4819
Ag3 Ag 0.1455 0.4819 0.1455
Ag4 Ag 0.3591 0.3591 0.8548
Ag5 Ag 0.3591 0.8548 0.3591
Ag6 Ag 0.4819 0.1455 0.1455
Ag7 Ag 0.5181 0.8545 0.8545
Ag8 Ag 0.6409 0.1452 0.6409
Ag9 Ag 0.6409 0.6409 0.1452
Ag10 Ag 0.8545 0.5181 0.8545
Ag11 Ag 0.8545 0.8545 0.5181
Ag12 Ag 0.8548 0.3591 0.3591



# Ba2NaCdAg (GGA-PBE, relaxed)
# E_form	-69	meV/atom
data_Ba2NaCdAg
_chemical_formula_sum 'Ba2 Na1 Cd1 Ag1'
_cell_length_a 6.4711
_cell_length_b 6.4711
_cell_length_c 5.3876
_cell_angle_alpha 90.00
_cell_angle_beta 90.00
_cell_angle_gamma 90.00
_symmetry_space_group_name_H-M 'P 1'
_symmetry_Int_Tables_number 1
loop_
_symmetry_equiv_pos_as_xyz
'x,y,z'
loop_
_atom_site_label
_atom_site_type_symbol
_atom_site_fract_x
_atom_site_fract_y
_atom_site_fract_z
Ba1 Ba 0.0000 0.5000 0.0000
Ba2 Ba 0.5000 0.0000 0.0000
Na1 Na 0.0000 0.0000 0.5000
Cd1 Cd 0.5000 0.5000 0.5000
Ag1 Ag 0.5000 0.5000 0.0000



# Ba2NaCd12Ag3 (GGA-PBE, relaxed)
# E_form	93	meV/atom
data_Ba2NaCd12Ag3
_chemical_formula_sum 'Ba2 Na1 Cd12 Ag3'
_cell_length_a 8.6065
_cell_length_b 8.6065
_cell_length_c 8.6065
_cell_angle_alpha 73.19
_cell_angle_beta 73.19
_cell_angle_gamma 73.19
_symmetry_space_group_name_H-M 'P 1'
_symmetry_Int_Tables_number 1
loop_
_symmetry_equiv_pos_as_xyz
'x,y,z'
loop_
_atom_site_label
_atom_site_type_symbol
_atom_site_fract_x
_atom_site_fract_y
_atom_site_fract_z
Ba1 Ba 0.1091 0.1091 0.1091
Ba2 Ba 0.8909 0.8909 0.8909
Na1 Na 0.5000 0.5000 0.5000
Cd1 Cd 0.1489 0.6431 0.6431
Cd2 Cd 0.1956 0.1956 0.6615
Cd3 Cd 0.1956 0.6615 0.1956
Cd4 Cd 0.3385 0.8044 0.8044
Cd5 Cd 0.3569 0.3569 0.8511
Cd6 Cd 0.3569 0.8511 0.3569
Cd7 Cd 0.6431 0.1489 0.6431
Cd8 Cd 0.6431 0.6431 0.1489
Cd9 Cd 0.6615 0.1956 0.1956
Cd10 Cd 0.8044 0.3385 0.8044
Cd11 Cd 0.8044 0.8044 0.3385
Cd12 Cd 0.8511 0.3569 0.3569
Ag1 Ag 0.0000 0.5000 0.5000
Ag2 Ag 0.5000 0.0000 0.5000
Ag3 Ag 0.5000 0.5000 0.0000